(1)
The following is a GGA-PBE calculation of a relaxed structure of Th4P2AuSe, from Alexandria.

## Properties
density of states at the Fermi level: 6.06 states/eV/cell
E_tot: -7.218 eV per atom

Cell lengths 7.263, 4.132, 7.399 Å; angles 90.00, 108.82, 90.00 degrees
Positions (direct):
Th1 0.244 0.000 0.230
Th2 0.256 0.500 0.766
Th3 0.744 0.500 0.234
Th4 0.756 0.000 0.770
P1 0.000 0.500 0.000
P2 0.500 0.000 0.000
Au1 0.000 0.000 0.500
Se1 0.500 0.500 0.500

(2)
The following is a GGA-PBE calculation of a relaxed structure of TiPAu2Se, from Alexandria.

## Properties
density of states at the Fermi level: 8.10 states/eV/cell
E_tot: -3.943 eV per atom

Cell lengths 5.060, 5.060, 4.621 Å; angles 90.00, 90.00, 90.00 degrees
Positions (direct):
Ti1 0.000 0.000 0.000
P1 0.000 0.000 0.500
Au1 0.000 0.500 0.000
Au2 0.500 0.000 0.000
Se1 0.500 0.500 0.500

(3)
The following is a GGA-PBE calculation of a relaxed structure of TlPAu2Se4, from Alexandria.

## Properties
E_tot: -3.686 eV per atom

Cell lengths 6.775, 6.775, 6.775 Å; angles 122.51, 105.12, 101.64 degrees
Positions (direct):
Tl1 0.000 0.000 0.000
P1 0.500 0.500 0.000
Au1 0.325 0.825 0.500
Au2 0.675 0.175 0.500
Se1 0.179 0.159 0.643
Se2 0.484 0.841 0.020
Se3 0.516 0.536 0.357
Se4 0.821 0.464 0.980

(4)
The following is a GGA-PBE calculation of a relaxed structure of TlPAuSe3, from Alexandria.

## Properties
E_tot: -3.792 eV per atom

Cell lengths 7.238, 7.238, 8.467 Å; angles 115.70, 115.70, 60.87 degrees
Positions (direct):
Tl1 0.213 0.213 0.279
Tl2 0.787 0.787 0.721
P1 0.466 0.466 0.847
P2 0.534 0.534 0.153
Au1 0.270 0.730 0.500
Au2 0.730 0.270 0.500
Se1 0.188 0.694 0.177
Se2 0.265 0.265 0.693
Se3 0.306 0.812 0.823
Se4 0.694 0.188 0.177
Se5 0.735 0.735 0.307
Se6 0.812 0.306 0.823

(5)
The following is a GGA-PBE calculation of a relaxed structure of Tm4PAuSe2, from Alexandria.

## Properties
density of states at the Fermi level: 4.17 states/eV/cell
E_tot: -5.635 eV per atom

Cell lengths 7.019, 3.958, 7.087 Å; angles 90.00, 108.42, 90.00 degrees
Positions (direct):
Tm1 0.235 0.000 0.236
Tm2 0.241 0.500 0.755
Tm3 0.759 0.500 0.245
Tm4 0.765 0.000 0.764
P1 0.000 0.500 0.000
Au1 0.000 0.000 0.500
Se1 0.500 0.000 0.000
Se2 0.500 0.500 0.500

(6)
The following is a GGA-PBE calculation of a relaxed structure of Tm8P3AuSe4, from Alexandria.

## Properties
density of states at the Fermi level: 9.05 states/eV/cell
E_tot: -5.908 eV per atom

Cell lengths 8.055, 8.055, 8.055 Å; angles 59.56, 59.56, 59.56 degrees
Positions (direct):
Tm1 0.238 0.749 0.749
Tm2 0.242 0.242 0.242
Tm3 0.251 0.251 0.762
Tm4 0.251 0.762 0.251
Tm5 0.749 0.238 0.749
Tm6 0.749 0.749 0.238
Tm7 0.758 0.758 0.758
Tm8 0.762 0.251 0.251
P1 0.000 0.000 0.500
P2 0.000 0.500 0.000
P3 0.500 0.000 0.000
Au1 0.500 0.500 0.500
Se1 0.000 0.000 0.000
Se2 0.000 0.500 0.500
Se3 0.500 0.000 0.500
Se4 0.500 0.500 0.000

(7)
The following is a GGA-PBE calculation of a relaxed structure of Y6P2AuSe3, from Alexandria.

## Properties
density of states at the Fermi level: 4.89 states/eV/cell
E_tot: -6.883 eV per atom

Cell lengths 9.155, 9.155, 8.262 Å; angles 103.09, 103.09, 25.50 degrees
Positions (direct):
Y1 0.006 0.006 0.254
Y2 0.328 0.328 0.427
Y3 0.331 0.331 0.900
Y4 0.669 0.669 0.100
Y5 0.672 0.672 0.573
Y6 0.994 0.994 0.746
P1 0.167 0.167 0.336
P2 0.833 0.833 0.664
Au1 0.500 0.500 0.000
Se1 0.167 0.167 0.833
Se2 0.500 0.500 0.500
Se3 0.833 0.833 0.167

(8)
The following is a GGA-PBE calculation of a relaxed structure of ZnPAu2Se, from Alexandria.

## Properties
density of states at the Fermi level: 3.16 states/eV/cell
E_tot: -2.590 eV per atom

Cell lengths 4.942, 4.942, 4.447 Å; angles 90.00, 90.00, 90.00 degrees
Positions (direct):
Zn1 0.000 0.000 0.000
P1 0.000 0.000 0.500
Au1 0.000 0.500 0.000
Au2 0.500 0.000 0.000
Se1 0.500 0.500 0.500

(9)
The following is a GGA-PBE calculation of a relaxed structure of SiP2Au, from Alexandria.

## Properties
density of states at the Fermi level: 2.17 states/eV/cell
E_tot: -4.352 eV per atom

Cell lengths 2.886, 2.886, 8.952 Å; angles 90.00, 90.00, 115.88 degrees
Positions (direct):
Si1 0.000 0.000 0.000
P1 0.000 0.000 0.441
P2 0.500 0.500 0.256
Au1 0.500 0.500 0.755

(10)
The following is a GGA-PBE calculation of a relaxed structure of SiPAu3, from Alexandria.

## Properties
density of states at the Fermi level: 2.62 states/eV/cell
offset from the most stable computed form: 0 meV per atom
E_tot: -3.531 eV per atom

Cell lengths 4.757, 4.757, 4.757 Å; angles 90.00, 90.00, 90.00 degrees
Positions (direct):
Si1 0.000 0.000 0.000
P1 0.500 0.500 0.500
Au1 0.000 0.500 0.500
Au2 0.500 0.000 0.500
Au3 0.500 0.500 0.000

(11)
The following is a GGA-PBE calculation of a relaxed structure of SiP2Au, from Alexandria.

## Properties
density of states at the Fermi level: 4.22 states/eV/cell
E_tot: -4.935 eV per atom

Cell lengths 6.540, 6.540, 6.540 Å; angles 129.89, 129.89, 73.58 degrees
Positions (direct):
Si1 0.000 0.000 0.000
Si2 0.750 0.250 0.500
P1 0.102 0.625 0.977
P2 0.375 0.352 0.477
P3 0.648 0.125 0.023
P4 0.875 0.898 0.523
Au1 0.250 0.750 0.500
Au2 0.500 0.500 0.000

(12)
The following is a GGA-PBE calculation of a relaxed structure of SiP2Au, from Alexandria.

## Properties
density of states at the Fermi level: 1.22 states/eV/cell
E_tot: -4.711 eV per atom

Cell lengths 5.063, 5.063, 2.600 Å; angles 90.00, 90.00, 90.00 degrees
Positions (direct):
Si1 0.000 0.000 0.000
P1 0.000 0.500 0.000
P2 0.500 0.000 0.000
Au1 0.500 0.500 0.000

no.,ΔE_f (raw) (eV per atom)
1,-1.310
2,0.726
3,-0.153
4,-0.207
5,-1.443
6,-1.582
7,-1.606
8,0.754
9,0.528
10,0.602
11,-0.055
12,0.169